SrTmAgS3 | PBE-GGA | relaxed

The calculation puts the formation energy (no corrections) at -1.60 eV per atom. For the raw total energy, the calculation gives -30.96 eV per formula unit.

It has space group P2_1/m (No. 11), with a = 8.142 Å, b = 4.010 Å, c = 8.919 Å, α = 90.00°, β = 104.56° and γ = 90.00°. Symmetry generates all atoms from Sr at (0.201, 0.250, 0.240), Tm at (0.326, 0.750, 0.837), Ag at (0.098, 0.250, 0.589), S at (0.106, 0.250, 0.873), S at (0.261, 0.750, 0.519) and S at (0.442, 0.750, 0.152).